Material: LaCoH
Method: DFT, GGA-PBE
State: relaxed

Results
For the total DFT energy (no corrections), the calculation gives -15.12 eV per cell. The calculation puts the energy above the lowest structure with this stoichiometry at 1.13 eV/f.u.

abc: 3.7970 3.7970 3.6815
angles: 90.00 90.00 120.00
With the nearest neighbours (Å) after each atom.
Space group P-6m2 (No. 187)
Inequivalent atoms, fractional coordinates:
La  0.0000  0.0000  0.0000  6 H 2.86, 6 Co 2.86
Co  0.6667  0.3333  0.5000  3 H 2.19
H  0.3333  0.6667  0.5000  3 Co 2.19